(1)
Material: AlInP
Method: DFT, PBE-GGA
State: optimized geometry

Summary:
Calculated formation energy in eV/atom: 0.263
Total DFT energy (no corrections) in Ry per atom: -0.272
Energy above the most stable polymorph in this dataset in meV/atom: 411

The structure in extended XYZ format:
```
3
Lattice="-3.917 2.289 0.719 -3.979 -1.727 -1.509 -3.086 -1.613 2.995" Properties=species:S:1:pos:R:3 pbc="T T T"
P -8.237 -0.789 1.653
In -5.491 -0.526 1.102
Al 0.000 0.000 0.000
```


(2)
Material: Sr2NpP
Method: DFT, PBE-GGA
State: optimized geometry

Summary:
Calculated formation energy in eV/atom: 0.182
Total DFT energy (no corrections) in Ry per atom: -0.386

The structure in extended XYZ format:
```
4
Lattice="-1.979 -3.465 -1.056 1.323 -3.645 1.415 -6.891 -1.300 9.113" Properties=species:S:1:pos:R:3 pbc="T T T"
Np 0.000 0.000 0.000
Sr -4.545 -1.677 5.951
Sr -3.002 -6.735 3.520
P -3.774 -4.206 4.736
```


(3)
Material: Be2CuAs
Method: DFT, PBE-GGA
State: optimized geometry

Summary:
Calculated formation energy in eV/atom: 0.327
Total DFT energy (no corrections) in Ry per atom: -0.274

The structure in extended XYZ format:
```
4
Lattice="7.406 -0.054 -0.032 6.903 2.685 -0.032 6.903 1.269 2.367" Properties=species:S:1:pos:R:3 pbc="T T T"
Be 0.077 0.014 0.008
Be 10.529 1.936 1.143
Cu 15.909 2.926 1.727
As 5.303 0.975 0.576
```


(4)
Material: HfTl2Cd
Method: DFT, PBE-GGA
State: optimized geometry

Summary:
Calculated formation energy in eV/atom: 0.323
Total DFT energy (no corrections) in Ry per atom: -0.263
Energy above the most stable polymorph in this dataset in meV/atom: 176

The structure in extended XYZ format:
```
4
Lattice="-0.443 -2.850 1.631 1.676 -0.586 2.798 -7.786 3.499 7.361" Properties=species:S:1:pos:R:3 pbc="T T T"
Tl -0.927 -2.212 5.980
Tl -5.626 2.275 5.810
Hf 0.000 0.000 0.000
Cd -3.276 0.032 5.895
```


(5)
Material: CsK2Rb
Method: DFT, PBE-GGA
State: optimized geometry

Summary:
Calculated formation energy in eV/atom: 0.009
Total DFT energy (no corrections) in Ry per atom: -0.073
Energy above the most stable polymorph in this dataset in meV/atom: 2

The structure in extended XYZ format:
```
8
Lattice="-1.918 -4.745 -6.708 -8.289 -3.400 4.775 -3.740 7.472 -1.171" Properties=species:S:1:pos:R:3 pbc="T T T"
K -8.424 0.373 -3.564
K -1.379 0.654 -1.927
K -12.568 -1.327 -1.177
K -5.523 -1.046 0.460
Rb -9.496 1.809 0.994
Rb -4.451 -2.482 -4.098
Cs -8.609 -4.176 -1.730
Cs -5.338 3.503 -1.375
```


(6)
Material: Mg3W
Method: DFT, PBE-GGA
State: optimized geometry

Summary:
Calculated formation energy in eV/atom: 0.593
Total DFT energy (no corrections) in Ry per atom: -0.282
Energy above the most stable polymorph in this dataset in meV/atom: 308

The structure in extended XYZ format:
```
4
Lattice="-2.684 2.036 -3.939 1.998 -1.560 -4.521 -1.462 -2.591 4.244" Properties=species:S:1:pos:R:3 pbc="T T T"
Mg -2.245 -0.159 -1.962
Mg 0.096 -1.957 -2.254
Mg -0.343 0.238 -4.230
W 0.000 0.000 0.000
```